Entry from Alexandria: Pm2Sn6Au after structural relaxation (PBE).

The structure belongs to space group R-3m (No. 166, hexagonal axes); the cell edges are 5.0554, 5.0554 and 35.1039 Å and the angles 90.00°, 90.00° and 120.00°. The asymmetric unit holds Pm at (0.0000, 0.0000, 0.0923), Sn at (0.0000, 0.0000, 0.1856), Sn at (0.0000, 0.0000, 0.3007), Sn at (0.0000, 0.0000, 0.3872) and Au at (0.0000, 0.0000, 0.0000).

Its total magnetization is 0.00 μB/f.u. The electronic total energy is -116.8 eV per cell. As for the formation energy from the elements: -5.5 kcal/mol of atoms.